[1]
# Pr4Se5

A geometry-optimized Pr4Se5 structure (GGA-PBE, the Alexandria database).

Computed properties:
Calculated total energy   -5.292 eV/atom
Crystal system   tetragonal
Calculated volume   300 Å³/f.u.
Formation energy without anion corrections   -11.08 eV/f.u.

Cell lengths 12.5879, 12.5879, 3.7914 Å; angles 90.00, 90.00, 90.00 degrees
With the nearest neighbours (Å) after each atom.
Space group I4/mmm (No. 139)
Unique sites:
Pr1 0.1461 0.1461 0.0000 x8  6 Se 3.07-3.22
Se1 0.0000 0.0000 0.5000 x2  8 Pr 3.22, 4 Se 3.40
Se2 0.0000 0.2697 0.5000 x8  4 Pr 3.07, 1 Se 3.40

***

[2]
# Dy5Tl2H

A geometry-optimized Dy5Tl2H structure (GGA-PBE, the Alexandria database).

Computed properties:
Calculated total energy   -4.019 eV/atom
Crystal system   tetragonal
Calculated volume   216 Å³/f.u.

Cell lengths 6.9309, 6.9309, 8.9798 Å; angles 90.00, 90.00, 90.00 degrees
With the nearest neighbours (Å) after each atom.
Space group I4mm (No. 107)
Unique sites:
Dy1 0.0000 0.0000 0.0000 x2  1 H 2.23
Dy2 0.2486 0.2486 0.7452 x8  1 H 2.46
Tl1 0.0000 0.5000 0.4967 x4  10 Dy 3.31-3.47
H1 0.0000 0.0000 0.2485 x2  5 Dy 2.23-2.46

***

[3]
# PtC2

A geometry-optimized PtC2 structure (GGA-PBE, the Alexandria database).

Computed properties:
Calculated total energy   -6.271 eV/atom
Crystal system   trigonal
Calculated volume   35 Å³/f.u.
DFT formation energy   1891.7 meV/atom
Energy above the lowest structure with this stoichiometry   4.71 eV per formula unit

Cell lengths 5.3318, 5.3318, 4.2336 Å; angles 90.00, 90.00, 120.00 degrees
With the nearest neighbours (Å) after each atom.
Space group P-31m (No. 162)
Unique sites:
Pt1 0.0000 0.0000 0.0000 x1  6 C 2.05
Pt2 0.3333 0.6667 0.5000 x2  6 C 2.08
C1 0.0000 0.3284 0.2511 x6  3 Pt 2.05-2.08

***

[4]
# BaCd2Ag4Sn

A geometry-optimized BaCd2Ag4Sn structure (GGA-PBE, the Alexandria database).

Computed properties:
Calculated total energy   -2.486 eV/atom
Crystal system   trigonal
Calculated volume   201 Å³/f.u.
DFT formation energy   -90.6 meV/atom

Cell lengths 4.7899, 4.7899, 30.3160 Å; angles 90.00, 90.00, 120.00 degrees
With the nearest neighbours (Å) after each atom.
Space group R-3m (No. 166, hexagonal axes)
Unique sites:
Ba1 0.0000 0.0000 0.0000 x3  8 Ag 3.53-3.87, 6 Cd 3.85
Cd1 0.0000 0.0000 0.2451 x6  6 Ag 2.81-3.01
Ag1 0.0000 0.0000 0.1277 x6  3 Sn 3.01, 3 Cd 3.01, 3 Ag 3.23
Ag2 0.0000 0.0000 0.4059 x6  3 Cd 2.81, 1 Sn 2.85
Sn1 0.0000 0.0000 0.5000 x3  8 Ag 2.85-3.01

***

[5]
# Th5Fe2Pb

A geometry-optimized Th5Fe2Pb structure (GGA-PBE, the Alexandria database).

Computed properties:
Calculated total energy   -7.348 eV/atom
Crystal system   tetragonal
Calculated volume   213 Å³/f.u.
DFT formation energy   -131.1 meV/atom

Cell lengths 7.7880, 7.7880, 14.0321 Å; angles 90.00, 90.00, 90.00 degrees
With the nearest neighbours (Å) after each atom.
Space group I4/mcm (No. 140)
Unique sites:
Th1 0.0000 0.0000 0.0000 x4  4 Fe 3.00
Th2 0.1565 0.3435 0.1292 x16  3 Fe 2.86-2.95
Fe1 0.1422 0.3578 0.5000 x8  8 Th 2.86-3.00, 1 Fe 3.13
Pb1 0.0000 0.0000 0.2500 x4  10 Th 3.39-3.51

***

[6]
# ScTePb

A geometry-optimized ScTePb structure (GGA-PBE, the Alexandria database).

Computed properties:
Calculated total energy   -4.507 eV/atom
Crystal system   cubic
Calculated volume   94 Å³/f.u.
Formation energy without anion corrections   -0.34 eV/f.u.

Cell lengths 7.2113, 7.2113, 7.2113 Å; angles 90.00, 90.00, 90.00 degrees
With the nearest neighbours (Å) after each atom.
Space group F-43m (No. 216)
Unique sites:
Sc1 0.0000 0.0000 0.0000 x4  4 Te 3.12
Te1 0.2500 0.2500 0.2500 x4  4 Pb 3.12, 4 Sc 3.12
Pb1 0.0000 0.0000 0.5000 x4  4 Te 3.12